(1)
# ZnC2O4, optimized geometry, DFT GGA-PBEsol
# Formation energy (no corrections) (eV/atom): -1.228
# Calculated density (g cm⁻³): 3.507
# V (Å³/cell): 145.28
# Crystal system: monoclinic
data_ZnC2O4
_chemical_formula_sum 'Zn2 C4 O8'
_symmetry_space_group_name_H-M 'P 1 21/c 1'
_symmetry_Int_Tables_number 14
_symmetry_space_group_name_Hall '-P 2ybc'
_cell_length_a 5.3424
_cell_length_b 5.1464
_cell_length_c 6.0854
_cell_angle_alpha 90.00
_cell_angle_beta 119.74
_cell_angle_gamma 90.00
loop_
_atom_site_label
_atom_site_type_symbol
_atom_site_fract_x
_atom_site_fract_y
_atom_site_fract_z
Zn1 Zn 0.0000 0.0000 0.0000
C1 C 0.4535 0.1148 0.9066
O1 O 0.1975 0.1985 0.8167
O2 O 0.3610 0.7052 0.6436



(2)
# Os4C3, optimized geometry, DFT GGA-PBEsol
# Energy above the lowest structure with this stoichiometry (meV/atom): 191.7
# Calculated density (g cm⁻³): 17.389
# Formation energy from the elements (eV per formula unit): 8.33
# V (Å³/cell): 76.11
# Crystal system: cubic
data_Os4C3
_chemical_formula_sum 'Os4 C3'
_symmetry_space_group_name_H-M 'P m -3 m'
_symmetry_Int_Tables_number 221
_symmetry_space_group_name_Hall '-P 4 2 3'
_cell_length_a 4.2378
_cell_length_b 4.2378
_cell_length_c 4.2378
_cell_angle_alpha 90.00
_cell_angle_beta 90.00
_cell_angle_gamma 90.00
loop_
_atom_site_label
_atom_site_type_symbol
_atom_site_fract_x
_atom_site_fract_y
_atom_site_fract_z
Os1 Os 0.0000 0.0000 0.0000
Os2 Os 0.0000 0.5000 0.5000
C1 C 0.0000 0.0000 0.5000



(3)
# OsC3, optimized geometry, DFT GGA-PBEsol
# Energy above the lowest structure with this stoichiometry (meV/atom): 725.6
# Calculated density (g cm⁻³): 11.241
# Formation energy from the elements (eV per formula unit): 12.23
# V (Å³/cell): 33.42
# Crystal system: cubic
data_OsC3
_chemical_formula_sum 'Os1 C3'
_symmetry_space_group_name_H-M 'P m -3 m'
_symmetry_Int_Tables_number 221
_symmetry_space_group_name_Hall '-P 4 2 3'
_cell_length_a 3.2212
_cell_length_b 3.2212
_cell_length_c 3.2212
_cell_angle_alpha 90.00
_cell_angle_beta 90.00
_cell_angle_gamma 90.00
loop_
_atom_site_label
_atom_site_type_symbol
_atom_site_fract_x
_atom_site_fract_y
_atom_site_fract_z
Os1 Os 0.0000 0.0000 0.0000
C1 C 0.0000 0.5000 0.5000